Entry 1:
Computed, not measured: a geometry-optimized KRb2SiAg structure at the GGA-PBEsol level of DFT. Values from VASP.

Computed properties:
total magnetic moment	2.0	μB per cell
DOS at the Fermi energy	0.7004	states/eV/atom
space-group type	P4/mmm
total energy	-0.13438	Ry/atom

Cell and atoms, written as Quantum ESPRESSO input:
```
&SYSTEM
  ibrav = 0, nat = 5, ntyp = 4
/
ATOMIC_SPECIES
K 39.10 K.upf
Si 28.09 Si.upf
Rb 85.47 Rb.upf
Ag 107.87 Ag.upf
CELL_PARAMETERS angstrom
-0.322 -0.051 6.137
-5.648 -2.932 -0.321
2.930 -5.657 0.107
ATOMIC_POSITIONS crystal
K 0.500 0.000 0.000
Si 0.500 0.500 0.500
Rb 0.000 0.000 0.500
Rb 0.000 0.500 0.000
Ag 0.000 0.000 0.000
```

Entry 2:
Computed, not measured: a geometry-optimized Cd2In structure at the GGA-PBEsol level of DFT. Values from VASP.

Computed properties:
total magnetic moment	0.0	μB per cell
DOS at the Fermi energy	0.3991	states/eV/atom
space-group type	Fd-3m
total energy	-0.12688	Ry/atom
energy of formation from the pure elements	0.066	eV per atom

Cell and atoms, written as Quantum ESPRESSO input:
```
&SYSTEM
  ibrav = 0, nat = 6, ntyp = 2
/
ATOMIC_SPECIES
Cd 112.41 Cd.upf
In 114.82 In.upf
CELL_PARAMETERS angstrom
-1.403 4.767 -3.038
-5.295 0.486 -2.375
-3.827 3.815 2.171
ATOMIC_POSITIONS crystal
Cd 0.125 0.125 0.125
Cd 0.125 0.125 0.625
Cd 0.125 0.625 0.125
Cd 0.625 0.125 0.125
In 0.500 0.500 0.500
In 0.750 0.750 0.750
```

Entry 3:
Computed, not measured: a geometry-optimized Li2IrRu structure at the GGA-PBEsol level of DFT. Values from VASP.

Computed properties:
total magnetic moment	0.0	μB per cell
DOS at the Fermi energy	0.8916	states/eV/atom
space-group type	Imm2
polymorph energy (0 for the lowest one)	125.1	meV per atom
total energy	-0.42732	Ry/atom
energy of formation from the pure elements	0.168	eV per atom

Cell and atoms, written as Quantum ESPRESSO input:
```
&SYSTEM
  ibrav = 0, nat = 4, ntyp = 3
/
ATOMIC_SPECIES
Ir 192.22 Ir.upf
Li 6.94 Li.upf
Ru 101.07 Ru.upf
CELL_PARAMETERS angstrom
2.886 0.000 0.000
0.000 4.163 0.000
-1.443 -2.082 3.968
ATOMIC_POSITIONS crystal
Ir 0.257 0.757 0.514
Li 0.015 0.015 0.030
Li 0.735 0.235 0.471
Ru 0.493 0.493 0.985
```

Entry 4:
Computed, not measured: a geometry-optimized Mg4Sb2O9 structure at the GGA-PBEsol level of DFT. Values from VASP.

Computed properties:
total magnetic moment	0.0	μB per cell
DOS at the Fermi energy	0.0000	states/eV/atom
space-group type	P-1
total energy	-0.47042	Ry/atom

Cell and atoms, written as Quantum ESPRESSO input:
```
&SYSTEM
  ibrav = 0, nat = 30, ntyp = 3
/
ATOMIC_SPECIES
Mg 24.30 Mg.upf
Sb 121.76 Sb.upf
O 16.00 O.upf
CELL_PARAMETERS angstrom
5.200 -0.007 0.000
-0.060 5.579 -0.005
-2.593 -1.713 11.332
ATOMIC_POSITIONS crystal
Mg 0.224 0.483 0.420
Mg 0.618 0.331 0.230
Mg 0.536 0.843 0.096
Mg 0.113 0.830 0.233
Mg 0.887 0.170 0.767
Mg 0.464 0.157 0.904
Mg 0.382 0.669 0.770
Mg 0.776 0.517 0.580
Sb 0.286 0.970 0.573
Sb 0.943 0.651 0.894
Sb 0.057 0.349 0.106
Sb 0.714 0.030 0.427
O 0.722 0.906 0.833
O 0.424 0.650 0.596
O 0.984 0.484 0.263
O 0.063 0.230 0.503
O 0.780 0.978 0.271
O 0.292 0.820 0.933
O 0.360 0.864 0.404
O 0.877 0.673 0.059
O 0.373 0.582 0.166
O 0.627 0.418 0.834
O 0.123 0.327 0.941
O 0.640 0.136 0.596
O 0.708 0.180 0.067
O 0.220 0.022 0.729
O 0.937 0.770 0.497
O 0.016 0.516 0.737
O 0.576 0.350 0.404
O 0.278 0.094 0.167
```

DOS at the Fermi energy of number 4 (Mg4Sb2O9)? 0.0000 states/eV/atom

The highest total magnetic moment belongs to which entry? KRb2SiAg